First-principles (PBE) data for an optimized crystal structure of CuTcIr2, as listed in Alexandria.

## Properties
* ΔE_f: 23.0 kJ per mole of atoms
* offset from the most stable computed form: 0.3151 eV/atom
* electronic total energy: -0.28692 hartree per atom
* ρ: 15.73 g cm⁻³
* Fermi-level density of states: 1.501 states/eV per atom
* total magnetization: 0.28 μB/f.u.

abc: 2.689 2.689 9.045
angles: 90.00 90.00 118.18
Fractional coordinates of all 4 atoms:
Cu1 0.000 0.000 0.000
Tc1 0.000 0.000 0.500
Ir1 0.500 0.500 0.247
Ir2 0.500 0.500 0.753

---

First-principles (PBE) data for an optimized crystal structure of CuTcIr2, as listed in Alexandria.

## Properties
* ΔE_f: -5.0 kJ per mole of atoms
* offset from the most stable computed form: 0.0243 eV/atom
* electronic total energy: -0.29761 hartree per atom
* ρ: 16.25 g cm⁻³
* Fermi-level density of states: 0.682 states/eV per atom
* total magnetization: 0.00 μB/f.u.

abc: 2.740 3.782 5.385
angles: 90.00 90.00 90.00
Fractional coordinates of all 4 atoms:
Cu1 0.000 0.000 0.000
Tc1 0.000 0.000 0.500
Ir1 0.500 0.500 0.248
Ir2 0.500 0.500 0.752

---

First-principles (PBE) data for an optimized crystal structure of CuTcIr2, as listed in Alexandria.

## Properties
* ΔE_f: 27.0 kJ per mole of atoms
* offset from the most stable computed form: 0.3561 eV/atom
* electronic total energy: -0.28542 hartree per atom
* ρ: 15.78 g cm⁻³
* Fermi-level density of states: 0.881 states/eV per atom
* total magnetization: 2.06 μB/f.u.

abc: 4.331 4.331 4.331
angles: 60.00 60.00 60.00
Fractional coordinates of all 4 atoms:
Cu1 0.000 0.000 0.000
Tc1 0.500 0.500 0.500
Ir1 0.250 0.250 0.250
Ir2 0.750 0.750 0.750

---

First-principles (PBE) data for an optimized crystal structure of CuTcIr2, as listed in Alexandria.

## Properties
* ΔE_f: 63.6 kJ per mole of atoms
* offset from the most stable computed form: 0.7358 eV/atom
* electronic total energy: -0.27146 hartree per atom
* ρ: 14.20 g cm⁻³
* Fermi-level density of states: 1.333 states/eV per atom
* total magnetization: 0.00 μB/f.u.

abc: 5.576 5.576 5.576
angles: 103.11 103.11 123.11
Fractional coordinates of all 8 atoms:
Cu1 0.000 0.000 0.000
Cu2 0.750 0.250 0.500
Tc1 0.250 0.750 0.500
Tc2 0.500 0.500 0.000
Ir1 0.150 0.625 0.025
Ir2 0.375 0.400 0.525
Ir3 0.600 0.125 0.975
Ir4 0.875 0.850 0.475

---

First-principles (PBE) data for an optimized crystal structure of CuTcIr, as listed in Alexandria.

## Properties
* ΔE_f: 41.0 kJ per mole of atoms
* offset from the most stable computed form: 0.4292 eV/atom
* electronic total energy: -0.27010 hartree per atom
* ρ: 11.93 g cm⁻³
* Fermi-level density of states: 1.484 states/eV per atom
* total magnetization: 0.00 μB/f.u.

abc: 4.114 4.114 4.114
angles: 60.00 60.00 60.00
Fractional coordinates of all 3 atoms:
Cu1 0.000 0.000 0.000
Tc1 0.500 0.500 0.500
Ir1 0.250 0.250 0.250

---

First-principles (PBE) data for an optimized crystal structure of CuTcIr, as listed in Alexandria.

## Properties
* ΔE_f: 26.3 kJ per mole of atoms
* offset from the most stable computed form: 0.2773 eV/atom
* electronic total energy: -0.27568 hartree per atom
* ρ: 13.74 g cm⁻³
* Fermi-level density of states: 0.869 states/eV per atom
* total magnetization: 0.00 μB/f.u.

abc: 7.152 6.919 2.667
angles: 84.05 74.18 21.77
Fractional coordinates of all 3 atoms:
Cu1 0.000 0.000 0.000
Tc1 0.667 0.667 0.333
Ir1 0.333 0.333 0.667

---

First-principles (PBE) data for an optimized crystal structure of CuTcIr2, as listed in Alexandria.

## Properties
* ΔE_f: 18.4 kJ per mole of atoms
* offset from the most stable computed form: 0.2677 eV/atom
* electronic total energy: -0.28866 hartree per atom
* ρ: 16.09 g cm⁻³
* Fermi-level density of states: 1.488 states/eV per atom
* total magnetization: 0.66 μB/f.u.

abc: 3.881 3.881 3.740
angles: 90.00 90.00 90.00
Fractional coordinates of all 4 atoms:
Cu1 0.000 0.000 0.000
Tc1 0.500 0.500 0.000
Ir1 0.000 0.500 0.500
Ir2 0.500 0.000 0.500

---

First-principles (PBE) data for an optimized crystal structure of CuTcIr2, as listed in Alexandria.

## Properties
* ΔE_f: 3.5 kJ per mole of atoms
* offset from the most stable computed form: 0.1126 eV/atom
* electronic total energy: -0.29436 hartree per atom
* ρ: 16.19 g cm⁻³
* Fermi-level density of states: 1.076 states/eV per atom
* total magnetization: 0.61 μB/f.u.

abc: 4.681 4.681 4.681
angles: 131.71 131.71 70.69
Fractional coordinates of all 4 atoms:
Cu1 0.000 0.000 0.000
Tc1 0.500 0.500 0.000
Ir1 0.250 0.750 0.500
Ir2 0.750 0.250 0.500

---

First-principles (PBE) data for an optimized crystal structure of CuTcIr2, as listed in Alexandria.

## Properties
* ΔE_f: 31.2 kJ per mole of atoms
* offset from the most stable computed form: 0.3995 eV/atom
* electronic total energy: -0.28382 hartree per atom
* ρ: 15.81 g cm⁻³
* Fermi-level density of states: 1.338 states/eV per atom
* total magnetization: 0.00 μB/f.u.

abc: 5.227 5.227 2.693
angles: 104.20 104.20 117.68
Fractional coordinates of all 4 atoms:
Cu1 0.000 0.000 0.000
Tc1 0.500 0.500 0.000
Ir1 0.000 0.500 0.500
Ir2 0.500 0.000 0.500

---

First-principles (PBE) data for an optimized crystal structure of CuTc2Ir2, as listed in Alexandria.

## Properties
* ΔE_f: 18.3 kJ per mole of atoms
* electronic total energy: -0.30575 hartree per atom
* ρ: 13.82 g cm⁻³
* Fermi-level density of states: 0.969 states/eV per atom
* total magnetization: 0.00 μB/f.u.

abc: 7.550 7.550 2.715
angles: 90.00 90.00 90.00
Fractional coordinates of all 10 atoms:
Cu1 0.000 0.000 0.000
Cu2 0.500 0.500 0.000
Tc1 0.172 0.328 0.500
Tc2 0.328 0.828 0.500
Tc3 0.672 0.172 0.500
Tc4 0.828 0.672 0.500
Ir1 0.124 0.624 0.000
Ir2 0.376 0.124 0.000
Ir3 0.624 0.876 0.000
Ir4 0.876 0.376 0.000

---

First-principles (PBE) data for an optimized crystal structure of CuTcIr2, as listed in Alexandria.

## Properties
* ΔE_f: 29.4 kJ per mole of atoms
* offset from the most stable computed form: 0.3811 eV/atom
* electronic total energy: -0.28450 hartree per atom
* ρ: 15.70 g cm⁻³
* Fermi-level density of states: 1.486 states/eV per atom
* total magnetization: 0.00 μB/f.u.

abc: 2.679 2.679 9.175
angles: 90.00 90.00 118.74
Fractional coordinates of all 4 atoms:
Cu1 0.000 0.000 0.000
Tc1 0.500 0.500 0.248
Ir1 0.000 0.000 0.497
Ir2 0.500 0.500 0.756

---

First-principles (PBE) data for an optimized crystal structure of CuTcIr2, as listed in Alexandria.

## Properties
* ΔE_f: 32.7 kJ per mole of atoms
* offset from the most stable computed form: 0.4160 eV/atom
* electronic total energy: -0.28322 hartree per atom
* ρ: 15.92 g cm⁻³
* Fermi-level density of states: 1.513 states/eV per atom
* total magnetization: 0.00 μB/f.u.

abc: 4.319 4.319 4.319
angles: 60.00 60.00 60.00
Fractional coordinates of all 4 atoms:
Cu1 0.000 0.000 0.000
Tc1 0.250 0.250 0.250
Ir1 0.500 0.500 0.500
Ir2 0.750 0.750 0.750